(1)
{
  "formula": "CoCuNi",
  "functional": "PBEsol",
  "state": "optimized geometry",
  "lattice": [[-1.519, 1.548, -1.147], [-1.893, -0.929, 1.253], [2.477, 3.287, 3.778]],
  "species": ["Ni", "Cu", "Co"],
  "frac_coords": [[0.338, 0.338, 0.676], [0.667, 0.667, 0.334], [0.995, 0.995, 0.990]],
  "delta_e_f_ev_per_fu": 0.19,
  "de_polymorph_mev_per_atom": 7,
  "total_energy_ev_per_atom": -6.012,
  "crystal_system": "tetragonal"
}

***

(2)
{
  "formula": "CoCuNi6",
  "functional": "PBEsol",
  "state": "optimized geometry",
  "lattice": [[-4.227, -4.219, -0.663], [3.387, 0.241, -4.957], [6.087, -6.702, 3.834]],
  "species": ["Co", "Co", "Co", "Co", "Ni", "Ni", "Ni", "Ni", "Ni", "Ni", "Ni", "Ni", "Ni", "Ni", "Ni", "Ni", "Ni", "Ni", "Ni", "Ni", "Ni", "Ni", "Ni", "Ni", "Ni", "Ni", "Ni", "Ni", "Cu", "Cu", "Cu", "Cu"],
  "frac_coords": [[0.250, 0.750, 0.500], [0.000, 0.000, 0.752], [0.000, 0.000, 0.248], [0.750, 0.250, 0.500], [0.878, 0.626, 0.624], [0.626, 0.878, 0.376], [0.124, 0.372, 0.874], [0.000, 0.000, 0.000], [0.500, 0.500, 0.500], [0.374, 0.122, 0.624], [0.626, 0.878, 0.624], [0.878, 0.626, 0.376], [0.752, 0.248, 0.747], [0.500, 0.500, 0.000], [0.122, 0.374, 0.376], [0.628, 0.876, 0.874], [0.372, 0.124, 0.126], [0.122, 0.374, 0.624], [0.372, 0.124, 0.874], [0.752, 0.248, 0.253], [0.876, 0.628, 0.126], [0.124, 0.372, 0.126], [0.374, 0.122, 0.376], [0.876, 0.628, 0.874], [0.248, 0.752, 0.747], [0.628, 0.876, 0.126], [0.000, 0.000, 0.500], [0.248, 0.752, 0.253], [0.749, 0.251, 0.000], [0.251, 0.749, 0.000], [0.500, 0.500, 0.750], [0.500, 0.500, 0.250]],
  "delta_e_f_ev_per_fu": 0.11,
  "total_energy_ev_per_atom": -6.114,
  "crystal_system": "orthorhombic"
}

***

(3)
{
  "formula": "CoCu2Ni",
  "functional": "PBEsol",
  "state": "optimized geometry",
  "lattice": [[-0.476, -1.496, 1.904], [-0.053, -2.754, -2.178], [4.893, -0.655, 0.710]],
  "species": ["Cu", "Cu", "Co", "Ni"],
  "frac_coords": [[0.500, 0.500, 0.249], [0.000, 0.000, 0.001], [0.500, 0.500, 0.738], [0.000, 0.000, 0.512]],
  "delta_e_f_ev_per_fu": 0.32,
  "total_energy_ev_per_atom": -5.562,
  "crystal_system": "orthorhombic"
}